# 1
Computed, not measured: a relaxed structure of Ta2MnZnAg at the PBEsol level of DFT.

Lattice parameters (Å, degrees): 4.455 4.455 4.558 90.00 90.00 90.00
Fractional positions:
Ta 0.000 0.500 0.000
Ta 0.500 0.000 0.000
Mn 0.000 0.000 0.000
Zn 0.000 0.000 0.500
Ag 0.500 0.500 0.500

Space-group type   P4/mmm (123)
E   -35.32 eV/cell



# 2
Computed, not measured: a relaxed structure of DyHoHg2 at the PBEsol level of DFT.

Lattice parameters (Å, degrees): 5.155 5.155 5.155 60.00 60.00 60.00
Fractional positions:
Dy 0.000 0.000 0.000
Ho 0.500 0.500 0.500
Hg 0.250 0.250 0.250
Hg 0.750 0.750 0.750

Space-group type   Fm-3m (225)
E   -13.37 eV/cell



# 3
Computed, not measured: a relaxed structure of LiPW2 at the PBEsol level of DFT.

Lattice parameters (Å, degrees): 3.275 3.959 4.183 90.00 90.00 90.00
Fractional positions:
Li 0.000 0.000 0.000
P 0.500 0.000 0.500
W 0.000 0.500 0.500
W 0.500 0.500 0.000

Space-group type   Pmmm (47)
E   -34.24 eV/cell



| no. | E_form (eV/atom) |
| --- | --- |
| 1 | 0.888 |
| 2 | -0.576 |
| 3 | 0.284 |